Entry 1:
The following is a DFT calculation (PBE) of Mn2MoBr after structural relaxation.

Unit cell a=3.1362 b=3.1362 c=7.2124 alpha=90.00 beta=90.00 gamma=90.00
Atoms (fractional coordinates):
Mn 0.0000 0.0000 0.2124
Mn 0.0000 0.0000 0.7876
Mo 0.5000 0.5000 0.0000
Br 0.5000 0.5000 0.5000

Output
DFT total energy (eV/atom): -7.3028



Entry 2:
The following is a DFT calculation (PBE) of MnMo2Br after structural relaxation.

Unit cell a=9.2266 b=2.9751 c=4.6883 alpha=90.00 beta=106.67 gamma=90.00
Atoms (fractional coordinates):
Mn 0.0000 0.0000 0.0000
Mn 0.5000 0.5000 0.0000
Mo 0.0040 0.5000 0.5208
Mo 0.2766 0.0000 0.8873
Mo 0.5040 0.0000 0.5208
Mo 0.7766 0.5000 0.8873
Br 0.2466 0.5000 0.3407
Br 0.7466 0.0000 0.3407

Output
DFT total energy (eV/atom): -7.4168



Entry 3:
The following is a DFT calculation (PBE) of MnMo2Br after structural relaxation.

Unit cell a=2.9631 b=2.9631 c=25.0774 alpha=90.00 beta=90.00 gamma=120.00
Atoms (fractional coordinates):
Mn 0.0000 0.0000 0.0000
Mn 0.3333 0.6667 0.6667
Mn 0.6667 0.3333 0.3333
Mo 0.0000 0.0000 0.2557
Mo 0.0000 0.0000 0.7443
Mo 0.3333 0.6667 0.4110
Mo 0.3333 0.6667 0.9224
Mo 0.6667 0.3333 0.0776
Mo 0.6667 0.3333 0.5890
Br 0.0000 0.0000 0.5000
Br 0.3333 0.6667 0.1667
Br 0.6667 0.3333 0.8333

Output
DFT total energy (eV/atom): -7.5153



Entry 4:
The following is a DFT calculation (PBE) of MnMoBr after structural relaxation.

Unit cell a=3.2425 b=3.2425 c=5.8016 alpha=90.00 beta=90.00 gamma=120.00
Atoms (fractional coordinates):
Mn 0.0000 0.0000 0.0000
Mo 0.6667 0.3333 0.2377
Br 0.3333 0.6667 0.6358

Output
DFT total energy (eV/atom): -6.7961



Entry 5:
The following is a DFT calculation (PBE) of MnMoBr2 after structural relaxation.

Unit cell a=3.2090 b=4.5237 c=12.2661 alpha=90.00 beta=90.00 gamma=90.00
Atoms (fractional coordinates):
Mn 0.0000 0.0000 0.0000
Mn 0.5000 0.5000 0.5000
Mo 0.0000 0.5000 0.6658
Mo 0.5000 0.0000 0.1658
Br 0.0000 0.0000 0.3807
Br 0.0000 0.5000 0.1604
Br 0.5000 0.0000 0.6604
Br 0.5000 0.5000 0.8807

Output
DFT total energy (eV/atom): -5.4149



Entry 6:
The following is a DFT calculation (PBE) of MnMoBr2 after structural relaxation.

Unit cell a=3.1468 b=4.3944 c=5.9496 alpha=90.00 beta=90.00 gamma=90.00
Atoms (fractional coordinates):
Mn 0.0000 0.0000 0.0000
Mo 0.5000 0.0000 0.5000
Br 0.0000 0.5000 0.5000
Br 0.5000 0.5000 0.0000

Output
DFT total energy (eV/atom): -5.0970



Entry 7:
The following is a DFT calculation (PBE) of MnMo2Br after structural relaxation.

Unit cell a=3.7444 b=3.7444 c=4.7474 alpha=90.00 beta=90.00 gamma=90.00
Atoms (fractional coordinates):
Mn 0.0000 0.0000 0.0000
Mo 0.0000 0.5000 0.5000
Mo 0.5000 0.0000 0.5000
Br 0.5000 0.5000 0.0000

Output
DFT total energy (eV/atom): -7.2110



Entry 8:
The following is a DFT calculation (PBE) of Mn2MoBr after structural relaxation.

Unit cell a=3.3684 b=5.0262 c=8.1542 alpha=90.00 beta=90.00 gamma=90.00
Atoms (fractional coordinates):
Mn 0.0000 0.0000 0.2348
Mn 0.0000 0.0000 0.7652
Mn 0.5000 0.5000 0.2348
Mn 0.5000 0.5000 0.7652
Mo 0.0000 0.5000 0.0000
Mo 0.5000 0.0000 0.0000
Br 0.0000 0.5000 0.5000
Br 0.5000 0.0000 0.5000

Output
DFT total energy (eV/atom): -7.2667



| no. | formation energy without anion corrections (eV per atom) | energy above the most stable polymorph in this dataset (meV/atom) | volume (Å³ per atom) |
| --- | --- | --- | --- |
| 1 | 0.41 | 72 | 17.73 |
| 2 | 0.71 | 373 | 15.41 |
| 3 | 0.61 | 275 | 15.89 |
| 4 | 0.43 | 0 | 17.61 |
| 5 | 0.42 | 287 | 22.26 |
| 6 | 0.74 | 605 | 20.57 |
| 7 | 0.92 | 579 | 16.64 |
| 8 | 0.44 | 108 | 17.26 |